Density functional theory data (GGA+U) for a relaxed structure of KTl2V2O7.

Calculated values
**Calculated volume**: 20.5 A^3/atom
**SG**: R32 (155)
**D(E_F)**: 5.1 states/eV/cell
**Magnetization**: 0.00 μB per formula unit
**Total DFT energy (no corrections)**: -6.157 eV/atom

```
data_KTl2V2O7
_chemical_formula_sum 'K1 Tl2 V2 O7'
_cell_length_a 8.8499
_cell_length_b 8.8499
_cell_length_c 8.8499
_cell_angle_alpha 38.95
_cell_angle_beta 38.95
_cell_angle_gamma 38.95
_symmetry_space_group_name_H-M 'P 1'
_symmetry_Int_Tables_number 1
_symmetry_space_group_name_Hall 'P 1'
loop_
_atom_site_label
_atom_site_type_symbol
_atom_site_fract_x
_atom_site_fract_y
_atom_site_fract_z
_atom_site_occupancy
K1 K 0.0000 0.0000 0.0000 1
Tl1 Tl 0.2110 0.2110 0.2110 1
Tl2 Tl 0.7890 0.7890 0.7890 1
V1 V 0.4258 0.4258 0.4258 1
V2 V 0.5742 0.5742 0.5742 1
O1 O 0.1126 0.4338 0.6670 1
O2 O 0.3330 0.5662 0.8874 1
O3 O 0.4338 0.6670 0.1126 1
O4 O 0.5000 0.5000 0.5000 1
O5 O 0.5662 0.8874 0.3330 1
O6 O 0.6670 0.1126 0.4338 1
O7 O 0.8874 0.3330 0.5662 1
```